Entry from the Alexandria database: a relaxed structure of YNiIO2 (GGA+U).

a b c (Å): 4.2106 4.2106 4.8289
angles (deg): 90.00 90.00 90.00
Last column: nearest neighbours and their distance in Å.
Fractional coordinates of all 5 atoms:
Ni  0.0000  0.0000  0.0000  4 O 2.11
Y  0.5000  0.5000  0.5000  4 I 2.98, 8 O 3.20
O  0.0000  0.5000  0.0000  2 Ni 2.11
O  0.5000  0.0000  0.0000  2 Ni 2.11
I  0.0000  0.0000  0.5000  2 Ni 2.41

## Properties
- energy (eV/cell) = -23.54
- V (Å³/cell) = 85.6
- space group = No. 123
- density of states at the Fermi level (states/eV/cell) = 1.44